1.
First-principles (PBE) data for crystalline NaLaDyIn at its relaxed geometry, as listed in Alexandria.

Cell lengths 7.8224, 7.8224, 7.8224 Å; angles 90.00, 90.00, 90.00 degrees
With the nearest neighbours (Å) after each atom.
Space group F-43m (No. 216)
Asymmetric unit:
Na: 0.0000 0.0000 0.0000  4 La 3.39, 4 Dy 3.39
La: 0.2500 0.2500 0.2500  4 In 3.39, 4 Na 3.39
Dy: 0.2500 0.2500 0.7500  4 In 3.39, 4 Na 3.39
In: 0.0000 0.0000 0.5000  4 La 3.39, 4 Dy 3.39

Computed properties:
**Formation energy**: -148 meV/atom
**Uncorrected energy**: -3.545 eV per atom
**Volume**: 29.9 Å³/atom
**Fermi-level density of states**: 4.8 states/eV/f.u.

---

2.
First-principles (PBE) data for crystalline CsK2Mg at its relaxed geometry, as listed in Alexandria.

Cell lengths 4.5405, 4.5405, 48.2052 Å; angles 90.00, 90.00, 120.00 degrees
With the nearest neighbours (Å) after each atom.
Space group R-3m (No. 166, hexagonal axes)
Asymmetric unit:
Cs: 0.0000 0.0000 0.0000  6 Cs 4.54, 6 K 5.05
K: 0.0000 0.0000 0.4228  1 Mg 3.72
Mg: 0.0000 0.0000 0.5000  2 K 3.72

Computed properties:
**Formation energy**: 319 meV/atom
**Uncorrected energy**: -0.842 eV per atom
**Volume**: 71.7 Å³/atom
**Fermi-level density of states**: 4.1 states/eV/f.u.

---

3.
First-principles (PBE) data for crystalline AgPtN2F at its relaxed geometry, as listed in Alexandria.

Cell lengths 3.7153, 3.7153, 6.2306 Å; angles 90.00, 90.00, 90.00 degrees
With the nearest neighbours (Å) after each atom.
Space group P4/mmm (No. 123)
Asymmetric unit:
Ag: 0.0000 0.0000 0.0000  4 F 2.63
Pt: 0.5000 0.5000 0.5000  4 N 1.86
N: 0.0000 0.5000 0.5000  2 Pt 1.86
F: 0.5000 0.5000 0.0000  4 Ag 2.63

Computed properties:
**Energy above the lowest structure with this stoichiometry**: 0 meV per atom
**Uncorrected energy**: -4.772 eV per atom
**Volume**: 17.2 Å³/atom
**ΔE_f (raw)**: 0.711 eV/atom
**Fermi-level density of states**: 2.4 states/eV/f.u.

---

Q: What is the formula in the second record?
A: CsK2Mg

---

Q: Which of these has the lowest Fermi-level density of states?
A: AgPtN2F